No. 1
DFT (PBE-GGA) results for a relaxed HfTcSb2 crystal.

Its formation energy from raw total energies is 0.27 eV/atom. As for the symmetry: I-42d, No. 122. Its calculated density is 9717 kg/m³.

Cell lengths 4.2645, 4.2645, 10.2274 Å; angles 77.97, 77.97, 90.00 degrees
Last column: nearest neighbours and their distance in Å.
Fractional positions:
Sb: 0.6088 0.1250 0.2500  2 Tc 2.85, 2 Hf 2.90, 4 Sb 2.92-3.11
Sb: 0.1412 0.6250 0.2500  2 Tc 2.85, 2 Hf 2.90, 4 Sb 2.92-3.11
Sb: 0.3750 0.3912 0.7500  2 Tc 2.85, 2 Hf 2.90, 4 Sb 2.92-3.11
Sb: 0.8750 0.8588 0.7500  2 Tc 2.85, 2 Hf 2.90, 4 Sb 2.92-3.11
Hf: 0.0000 0.0000 0.0000  4 Sb 2.90, 4 Tc 3.02
Hf: 0.7500 0.2500 0.5000  4 Sb 2.90, 4 Tc 3.02
Tc: 0.5000 0.5000 0.0000  4 Sb 2.85, 4 Hf 3.02
Tc: 0.2500 0.7500 0.5000  4 Sb 2.85, 4 Hf 3.02

=====

No. 2
DFT (PBE-GGA) results for a relaxed HfTcSb3 crystal.

Its formation energy from raw total energies is 0.79 eV/atom. As for the symmetry: Pm-3m, No. 221. Its calculated density is 7857 kg/m³.

Cell lengths 5.1379, 5.1379, 5.1379 Å; angles 90.00, 90.00, 90.00 degrees
Last column: nearest neighbours and their distance in Å.
Fractional positions:
Sb: 0.0000 0.5000 0.0000  2 Tc 2.57
Sb: 0.0000 0.0000 0.5000  2 Tc 2.57
Sb: 0.5000 0.0000 0.0000  2 Tc 2.57
Hf: 0.5000 0.5000 0.5000  12 Sb 3.63
Tc: 0.0000 0.0000 0.0000  6 Sb 2.57

=====

No. 3
DFT (PBE-GGA) results for a relaxed HfTc3Sb crystal.

Its formation energy from raw total energies is 1.41 eV/atom. As for the symmetry: Pm-3m, No. 221. Its calculated density is 9134 kg/m³.

Cell lengths 4.7628, 4.7628, 4.7628 Å; angles 90.00, 90.00, 90.00 degrees
Last column: nearest neighbours and their distance in Å.
Fractional positions:
Sb: 0.0000 0.0000 0.0000  6 Tc 2.38
Hf: 0.5000 0.5000 0.5000  12 Tc 3.37
Tc: 0.0000 0.5000 0.0000  2 Sb 2.38
Tc: 0.0000 0.0000 0.5000  2 Sb 2.38
Tc: 0.5000 0.0000 0.0000  2 Sb 2.38

=====

No. 4
DFT (PBE-GGA) results for a relaxed HfTcSb crystal.

Its formation energy from raw total energies is -0.10 eV/atom. As for the symmetry: P2_1/m, No. 11. Its calculated density is 10212 kg/m³.

Cell lengths 5.5649, 7.1596, 7.1595 Å; angles 78.08, 73.19, 73.19 degrees
Last column: nearest neighbours and their distance in Å.
Fractional positions:
Hf: 0.1216 0.6821 0.9321  4 Tc 2.71-2.85, 1 Sb 3.01
Hf: 0.8784 0.8179 0.5679  4 Tc 2.71-2.85, 1 Sb 3.01
Hf: 0.8784 0.3179 0.0679  4 Tc 2.71-2.85, 1 Sb 3.01
Hf: 0.1216 0.1821 0.4321  4 Tc 2.71-2.85, 1 Sb 3.01
Tc: 0.1271 0.4372 0.6872  4 Hf 2.71-2.85, 4 Sb 2.77-2.80
Tc: 0.1272 0.9372 0.1872  4 Hf 2.71-2.85, 4 Sb 2.77-2.80
Tc: 0.8729 0.5628 0.3128  4 Hf 2.71-2.85, 4 Sb 2.77-2.80
Tc: 0.8728 0.0628 0.8128  4 Hf 2.71-2.85, 4 Sb 2.77-2.80
Sb: 0.6211 0.4492 0.6992  4 Tc 2.77-2.80, 1 Hf 3.01
Sb: 0.6211 0.9492 0.1992  4 Tc 2.77-2.80, 1 Hf 3.01
Sb: 0.3789 0.5508 0.3008  4 Tc 2.77-2.80, 1 Hf 3.01
Sb: 0.3789 0.0508 0.8008  4 Tc 2.77-2.80, 1 Hf 3.01

=====

No. 5
DFT (PBE-GGA) results for a relaxed Hf6TcSb3 crystal.

Its formation energy from raw total energies is -0.23 eV/atom. As for the symmetry: Cmc2_1, No. 36. Its calculated density is 11083 kg/m³.

Cell lengths 6.2091, 9.0601, 9.0601 Å; angles 115.57, 90.00, 90.00 degrees
Last column: nearest neighbours and their distance in Å.
Fractional positions:
Hf: 0.0791 0.7972 0.6412  4 Sb 2.90-3.05, 1 Tc 2.93, 3 Hf 3.05-3.22
Hf: 0.5791 0.6412 0.7972  4 Sb 2.90-3.05, 1 Tc 2.93, 3 Hf 3.05-3.22
Hf: 0.2942 0.4051 0.9227  1 Tc 2.77, 2 Sb 2.85-2.96, 1 Hf 3.05
Hf: 0.7942 0.9227 0.4051  1 Tc 2.77, 2 Sb 2.85-2.96, 1 Hf 3.05
Hf: 0.3234 0.0340 0.9660  1 Tc 2.57
Hf: 0.7359 0.2767 0.7233  1 Tc 2.65
Hf: 0.2359 0.7233 0.2767  1 Tc 2.65
Hf: 0.8234 0.9660 0.0340  1 Tc 2.57
Hf: 0.2942 0.0773 0.5949  1 Tc 2.77, 2 Sb 2.85-2.96, 1 Hf 3.05
Hf: 0.7942 0.5949 0.0773  1 Tc 2.77, 2 Sb 2.85-2.96, 1 Hf 3.05
Hf: 0.0791 0.3588 0.2028  4 Sb 2.90-3.05, 1 Tc 2.93, 3 Hf 3.05-3.22
Hf: 0.5791 0.2028 0.3588  4 Sb 2.90-3.05, 1 Tc 2.93, 3 Hf 3.05-3.22
Tc: 0.0136 0.1456 0.8544  4 Hf 2.57-2.77
Tc: 0.5136 0.8544 0.1456  4 Hf 2.57-2.77
Sb: 0.6430 0.9232 0.7029  7 Hf 2.85-3.18, 1 Tc 2.97
Sb: 0.1430 0.7029 0.9232  7 Hf 2.85-3.18, 1 Tc 2.97
Sb: 0.8798 0.4678 0.5322  5 Hf 2.91-3.06, 2 Sb 3.26
Sb: 0.3798 0.5322 0.4678  5 Hf 2.91-3.06, 2 Sb 3.26
Sb: 0.1430 0.0768 0.2971  7 Hf 2.85-3.18, 1 Tc 2.97
Sb: 0.6430 0.2971 0.0768  7 Hf 2.85-3.18, 1 Tc 2.97

=====

No. 6
DFT (PBE-GGA) results for a relaxed HfTcSb2 crystal.

Its formation energy from raw total energies is 0.02 eV/atom. As for the symmetry: Fm-3m, No. 225. Its calculated density is 10811 kg/m³.

Cell lengths 4.8339, 4.8339, 4.8339 Å; angles 60.00, 60.00, 60.00 degrees
Last column: nearest neighbours and their distance in Å.
Fractional positions:
Sb: 0.2500 0.2500 0.2500  4 Hf 2.96, 4 Tc 2.96
Sb: 0.7500 0.7500 0.7500  4 Hf 2.96, 4 Tc 2.96
Hf: 0.5000 0.5000 0.5000  8 Sb 2.96
Tc: 0.0000 0.0000 0.0000  8 Sb 2.96

=====

No. 7
DFT (PBE-GGA) results for a relaxed Hf2Tc2Sb crystal.

Its formation energy from raw total energies is -0.10 eV/atom. As for the symmetry: P4/mbm, No. 127. Its calculated density is 11645 kg/m³.

Cell lengths 7.2209, 7.2209, 3.6906 Å; angles 90.00, 90.00, 90.00 degrees
Last column: nearest neighbours and their distance in Å.
Fractional positions:
Sb: 0.0000 0.0000 0.0000  4 Tc 2.88, 8 Hf 3.23
Sb: 0.5000 0.5000 0.0000  4 Tc 2.88, 8 Hf 3.23
Hf: 0.1816 0.6816 0.5000  6 Tc 2.75-2.88
Hf: 0.6816 0.8184 0.5000  6 Tc 2.75-2.88
Hf: 0.8184 0.3184 0.5000  6 Tc 2.75-2.88
Hf: 0.3184 0.1816 0.5000  6 Tc 2.75-2.88
Tc: 0.3816 0.8816 0.0000  1 Tc 2.42
Tc: 0.8816 0.6184 0.0000  1 Tc 2.42
Tc: 0.6184 0.1184 0.0000  1 Tc 2.42
Tc: 0.1184 0.3816 0.0000  1 Tc 2.42

=====

No. 8
DFT (PBE-GGA) results for a relaxed HfTcSb2 crystal.

Its formation energy from raw total energies is 0.40 eV/atom. As for the symmetry: R-3m, No. 166. Its calculated density is 9825 kg/m³.

Cell lengths 3.1781, 3.1781, 10.2137 Å; angles 81.05, 81.05, 60.00 degrees
Last column: nearest neighbours and their distance in Å.
Fractional positions:
Sb: 0.0874 0.0874 0.7379  1 Tc 2.63
Sb: 0.9126 0.9126 0.2621  1 Tc 2.63
Hf: 0.5000 0.5000 0.5000  6 Sb 3.01, 6 Hf 3.18
Tc: 0.0000 0.0000 0.0000  2 Sb 2.63